1.
{"formula": "LiLaOs2", "functional": "PBE", "state": "relaxed", "formation_enthalpy_0k_ev_per_atom": 0.2719, "total_magnetization_mub_per_cell": 0.000, "e_above_lowest_polymorph_mev_per_atom": 267, "spacegroup": "Pmm2, No. 25", "lattice": [[2.8653, 0.0000, 0.0000], [0.0000, 3.8780, 0.0000], [0.0000, 0.0000, 6.9613]], "species": ["La", "Li", "Os", "Os"], "fractional_positions": [[0.0000, 0.0000, 0.4742], [0.5000, 0.5000, 0.8129], [0.0000, 0.0000, 0.0364], [0.5000, 0.5000, 0.1765]]}

2.
{"formula": "Li2LaOs", "functional": "PBE", "state": "relaxed", "formation_enthalpy_0k_ev_per_atom": 0.5288, "total_magnetization_mub_per_cell": 0.000, "e_above_lowest_polymorph_mev_per_atom": 380, "spacegroup": "P4/mmm, No. 123", "lattice": [[-1.2685, -1.6138, -1.8642], [2.4616, -0.7088, -1.0614], [0.4922, -7.4625, 6.1251]], "species": ["La", "Li", "Li", "Os"], "fractional_positions": [[0.5000, 0.5000, 0.7500], [0.0000, 0.0000, 0.0530], [0.0000, 0.0000, 0.4470], [0.5000, 0.5000, 0.2500]]}

3.
{"formula": "LiLa2Os", "functional": "PBE", "state": "relaxed", "formation_enthalpy_0k_ev_per_atom": -0.0244, "total_magnetization_mub_per_cell": 0.000, "e_above_lowest_polymorph_mev_per_atom": 33, "spacegroup": "P4/mmm, No. 123", "lattice": [[3.5318, 0.0149, 0.0000], [-0.0122, 3.5318, 0.0000], [0.0000, 0.0000, 8.7813]], "species": ["Li", "Os", "La", "La"], "fractional_positions": [[0.5000, 0.5000, 0.2500], [0.5000, 0.5000, 0.7500], [0.0000, 0.0000, 0.9491], [0.0000, 0.0000, 0.5509]]}

4.
{"formula": "Li2LaOs2", "functional": "PBE", "state": "relaxed", "formation_enthalpy_0k_ev_per_atom": 0.4747, "total_magnetization_mub_per_cell": 1.443, "spacegroup": "I4/mmm, No. 139", "lattice": [[4.2315, 0.0000, 0.0000], [0.0000, 4.2315, 0.0000], [2.1157, 2.1157, 5.4781]], "species": ["Li", "Li", "Os", "Os", "La"], "fractional_positions": [[0.7500, 0.2500, 0.5000], [0.2500, 0.7500, 0.5000], [0.3950, 0.3950, 0.2099], [0.6050, 0.6050, 0.7901], [0.0000, 0.0000, 0.0000]]}